# 1
! Pm8InGe6 | Alexandria | GGA-PBE | optimized geometry; values from VASP
! DOS at the Fermi energy: 0.764 states/eV/atom
! space-group type: P-3, No. 147
! energy of formation from the pure elements: -0.64 eV/atom
&SYSTEM
  ibrav = 0, nat = 15, ntyp = 3
/
ATOMIC_SPECIES
Pm 145.00 Pm.upf
In 114.82 In.upf
Ge 72.64 Ge.upf
ATOMIC_POSITIONS angstrom
Pm -3.246 7.162 1.042
Pm 0.803 2.931 1.042
Pm 2.940 0.770 2.928
Pm 0.000 6.215 2.984
Pm 5.383 3.108 0.986
Pm 2.443 8.553 1.042
Pm 4.580 6.392 2.928
Pm 8.628 2.161 2.928
In 0.000 0.000 0.000
Ge -1.782 4.470 0.973
Ge -0.621 8.631 0.973
Ge 2.980 3.778 2.998
Ge 2.403 5.545 0.973
Ge 6.004 0.692 2.998
Ge 7.164 4.853 2.998
CELL_PARAMETERS angstrom
10.765 0.000 0.000
-5.383 9.323 0.000
0.000 0.000 3.970



# 2
! Tl3CdPb | Alexandria | GGA-PBE | optimized geometry; values from VASP
! DOS at the Fermi energy: 0.367 states/eV/atom
! energy relative to the lowest polymorph listed for this composition: 2.041 kcal/mol of atoms
! space-group type: C2/m, No. 12
! energy of formation from the pure elements: 0.13 eV/atom
&SYSTEM
  ibrav = 0, nat = 10, ntyp = 3
/
ATOMIC_SPECIES
Tl 204.38 Tl.upf
Cd 112.41 Cd.upf
Pb 207.20 Pb.upf
ATOMIC_POSITIONS angstrom
Tl 1.721 2.870 2.711
Tl 0.150 0.000 2.893
Tl 3.596 2.870 5.821
Tl 1.721 -2.870 2.711
Tl 5.166 0.000 5.639
Tl 3.596 -2.870 5.821
Cd 1.914 0.000 5.778
Cd 3.403 0.000 2.754
Pb 3.523 3.692 0.000
Pb 3.523 -3.692 0.000
CELL_PARAMETERS angstrom
3.523 -5.503 0.000
3.523 5.503 0.000
-1.729 0.000 8.532



# 3
! BaTlCd2Pd | Alexandria | GGA-PBE | optimized geometry; values from VASP
! DOS at the Fermi energy: 0.753 states/eV/atom
! energy relative to the lowest polymorph listed for this composition: 1.274 kcal/mol of atoms
! space-group type: P4/mmm, No. 123
! energy of formation from the pure elements: -0.29 eV/atom
&SYSTEM
  ibrav = 0, nat = 5, ntyp = 4
/
ATOMIC_SPECIES
Ba 137.33 Ba.upf
Tl 204.38 Tl.upf
Cd 112.41 Cd.upf
Pd 106.42 Pd.upf
ATOMIC_POSITIONS angstrom
Ba 0.000 0.000 0.000
Tl 2.657 2.657 0.000
Cd 0.000 2.657 2.661
Cd 2.657 0.000 2.661
Pd 2.657 2.657 2.661
CELL_PARAMETERS angstrom
5.313 0.000 0.000
0.000 5.313 0.000
0.000 0.000 5.322



# 4
! Dy2GaSi4Ni3 | Alexandria | GGA-PBE | optimized geometry; values from VASP
! DOS at the Fermi energy: 0.374 states/eV/atom
! raw formation energy: -0.77 eV per atom
! space-group type: P-4m2, No. 115
&SYSTEM
  ibrav = 0, nat = 10, ntyp = 4
/
ATOMIC_SPECIES
Dy 162.50 Dy.upf
Ga 69.72 Ga.upf
Si 28.09 Si.upf
Ni 58.69 Ni.upf
ATOMIC_POSITIONS angstrom
Dy 0.000 1.975 2.381
Dy 1.975 0.000 7.506
Ga 0.000 0.000 4.943
Si 0.000 0.000 0.000
Si 0.000 1.975 6.410
Si 1.975 0.000 3.477
Si 1.975 1.975 0.000
Ni 0.000 1.975 8.680
Ni 1.975 0.000 1.207
Ni 1.975 1.975 4.943
CELL_PARAMETERS angstrom
3.951 0.000 0.000
0.000 3.951 0.000
0.000 0.000 9.887



# 5
! BaNaSn2Sb | Alexandria | GGA-PBE | optimized geometry; values from VASP
! DOS at the Fermi energy: 0.281 states/eV/atom
! raw formation energy: -0.47 eV per atom
! space-group type: Imm2, No. 44
&SYSTEM
  ibrav = 0, nat = 5, ntyp = 4
/
ATOMIC_SPECIES
Ba 137.33 Ba.upf
Na 22.99 Na.upf
Sn 118.71 Sn.upf
Sb 121.76 Sb.upf
ATOMIC_POSITIONS angstrom
Ba 0.000 0.000 0.000
Na 2.401 0.000 3.546
Sn 0.000 0.000 8.548
Sn 0.000 2.536 3.535
Sb 0.000 0.000 5.563
CELL_PARAMETERS angstrom
-2.401 2.536 6.856
2.401 -2.536 6.856
2.401 2.536 -6.856



# 6
! Mg5Cd2Pd2 | Alexandria | GGA-PBE | optimized geometry; values from VASP
! DOS at the Fermi energy: 0.370 states/eV/atom
! space-group type: Cmce, No. 64
! energy of formation from the pure elements: -0.32 eV/atom
&SYSTEM
  ibrav = 0, nat = 18, ntyp = 3
/
ATOMIC_SPECIES
Mg 24.30 Mg.upf
Cd 112.41 Cd.upf
Pd 106.42 Pd.upf
ATOMIC_POSITIONS angstrom
Mg 0.000 0.000 0.000
Mg 6.076 2.319 4.536
Mg 6.076 1.140 1.134
Mg 9.852 2.319 4.536
Mg 9.852 1.140 1.134
Mg 7.964 0.000 3.403
Mg 6.076 -1.140 5.671
Mg 6.076 -2.319 2.269
Mg 9.852 -1.140 5.671
Mg 9.852 -2.319 2.269
Cd 3.573 0.000 0.000
Cd 4.391 0.000 3.403
Cd 11.536 0.000 3.403
Cd 12.355 0.000 0.000
Pd 7.964 2.494 2.466
Pd 7.964 0.965 5.869
Pd 7.964 -0.965 0.936
Pd 7.964 -2.494 4.339
CELL_PARAMETERS angstrom
7.964 -3.459 0.000
7.964 3.459 0.000
0.000 0.000 6.805



# 7
! CaSm2Dy7 | Alexandria | GGA-PBE | optimized geometry; values from VASP
! DOS at the Fermi energy: 1.666 states/eV/atom
! space-group type: P-1, No. 2
! energy of formation from the pure elements: 0.11 eV/atom
&SYSTEM
  ibrav = 0, nat = 10, ntyp = 3
/
ATOMIC_SPECIES
Ca 40.08 Ca.upf
Sm 150.36 Sm.upf
Dy 162.50 Dy.upf
ATOMIC_POSITIONS angstrom
Ca 0.000 0.000 0.000
Sm 3.728 5.550 5.912
Sm 6.035 3.203 1.789
Dy 1.267 1.100 3.850
Dy 2.697 4.283 2.620
Dy 3.056 1.686 0.471
Dy 4.534 2.323 4.890
Dy 5.229 6.430 2.810
Dy 6.707 7.068 7.229
Dy 7.066 4.471 5.080
CELL_PARAMETERS angstrom
6.546 0.000 0.000
0.683 6.554 0.000
2.534 2.200 7.700



# 8
! Ac3Zn3Ir2 | Alexandria | GGA-PBE | optimized geometry; values from VASP
! DOS at the Fermi energy: 0.627 states/eV/atom
! energy relative to the lowest polymorph listed for this composition: 0.000 kcal/mol of atoms
! space-group type: Cmcm, No. 63
! energy of formation from the pure elements: -0.51 eV/atom
&SYSTEM
  ibrav = 0, nat = 16, ntyp = 3
/
ATOMIC_SPECIES
Ac 227.00 Ac.upf
Zn 65.41 Zn.upf
Ir 192.22 Ir.upf
ATOMIC_POSITIONS angstrom
Ac 2.118 4.840 12.543
Ac 2.118 1.723 9.812
Ac 2.118 1.723 15.274
Ac 2.118 -1.723 1.450
Ac 2.118 -1.723 6.912
Ac 2.118 -4.840 4.181
Zn 2.118 4.962 9.315
Zn 2.118 4.962 15.771
Zn 2.118 3.462 4.181
Zn 2.118 -3.462 12.543
Zn 2.118 -4.962 0.953
Zn 2.118 -4.962 7.409
Ir 2.118 1.968 2.007
Ir 2.118 1.968 6.355
Ir 2.118 -1.968 10.369
Ir 2.118 -1.968 14.717
CELL_PARAMETERS angstrom
2.118 -5.855 0.000
2.118 5.855 0.000
0.000 0.000 16.724



Ordered E_tot results: -5.202 -2.216 -2.555 -5.893 -3.541 -2.561 -4.256 -4.739; unit eV/atom.
Ordered V results: 398.49 330.79 150.25 154.33 166.97 374.93 330.37 414.76; unit Å³/cell.